Arrangement one

{
  "formula": "SnAsSN2",
  "functional": "PBE-GGA",
  "state": "relaxed",
  "lattice": [[3.8727, 0.0000, 0.0000], [0.0000, 3.8727, 0.0000], [0.0000, 0.0000, 4.9796]],
  "species": ["Sn", "N", "N", "As", "S"],
  "fractional_positions": [[0.5000, 0.5000, 0.5000], [0.5000, 0.0000, 0.0000], [0.0000, 0.5000, 0.0000], [0.0000, 0.0000, 0.0000], [0.0000, 0.0000, 0.5000]],
  "space_group": "P4/mmm (123)"
}

***

Arrangement two

{
  "formula": "SnAsSN2",
  "functional": "PBE-GGA",
  "state": "relaxed",
  "lattice": [[4.0987, 0.0000, 0.0000], [0.0000, 4.0987, 0.0000], [0.0000, 0.0000, 5.2217]],
  "species": ["S", "N", "N", "As", "Sn"],
  "fractional_positions": [[0.0000, 0.0000, 0.5000], [0.0000, 0.5000, 0.0000], [0.5000, 0.0000, 0.0000], [0.5000, 0.5000, 0.5000], [0.0000, 0.0000, 0.0000]],
  "space_group": "P4/mmm (123)"
}

***

Energies relative to the most stable structure are arrangement one 0; arrangement two 417, reported in meV per atom.

***

Arrangement one

{
  "formula": "SrAsS2N",
  "functional": "PBE-GGA",
  "state": "relaxed",
  "lattice": [[4.9879, 0.0000, 0.0000], [0.0000, 4.9879, 0.0000], [0.0000, 0.0000, 3.8812]],
  "species": ["As", "S", "S", "N", "Sr"],
  "fractional_positions": [[0.0000, 0.0000, 0.0000], [0.5000, 0.0000, 0.0000], [0.0000, 0.5000, 0.0000], [0.0000, 0.0000, 0.5000], [0.5000, 0.5000, 0.5000]],
  "space_group": "P4/mmm (123)"
}

***

Arrangement two

{
  "formula": "SrAsS2N",
  "functional": "PBE-GGA",
  "state": "relaxed",
  "lattice": [[-2.4631, -1.7116, 4.7548], [3.5584, -4.3433, 0.2799], [3.0521, 2.6642, 2.5401]],
  "species": ["S", "S", "Sr", "As", "N"],
  "fractional_positions": [[0.0000, 0.5000, 0.0000], [0.5000, 0.0000, 0.0000], [0.0000, 0.0000, 0.0000], [0.5000, 0.5000, 0.5000], [0.0000, 0.0000, 0.5000]],
  "space_group": "P4/mmm (123)"
}

***

Energies relative to the most stable structure are arrangement one 0; arrangement two 1353, reported in meV per atom.

***

Arrangement one

{
  "formula": "TaAsS2N",
  "functional": "PBE-GGA",
  "state": "relaxed",
  "lattice": [[-0.3494, 4.8464, 0.7703], [-3.9755, 0.1732, -2.8928], [-2.2635, -0.6514, 3.0716]],
  "species": ["Ta", "S", "S", "N", "As"],
  "fractional_positions": [[0.0000, 0.0000, 0.0000], [0.5000, 0.0000, 0.0000], [0.0000, 0.5000, 0.0000], [0.0000, 0.0000, 0.5000], [0.5000, 0.5000, 0.5000]],
  "space_group": "P4/mmm (123)"
}

***

Arrangement two

{
  "formula": "TaAsS2N",
  "functional": "PBE-GGA",
  "state": "relaxed",
  "lattice": [[4.7247, 0.0000, 0.0000], [0.0000, 4.7247, 0.0000], [0.0000, 0.0000, 3.5906]],
  "species": ["S", "S", "As", "Ta", "N"],
  "fractional_positions": [[0.0000, 0.5000, 0.0000], [0.5000, 0.0000, 0.0000], [0.0000, 0.0000, 0.0000], [0.5000, 0.5000, 0.5000], [0.0000, 0.0000, 0.5000]],
  "space_group": "P4/mmm (123)"
}

***

Energies relative to the most stable structure are arrangement one 0; arrangement two 827, reported in meV per atom.